Entry from Alexandria: a relaxed structure of ZrMnS3 (PBE).

Values from the calculation:
Crystal system = monoclinic
E above lowest polymorph = 0 meV per atom
Total moment = 0.991 μB per atom
Uncorrected formation energy = -1.089 eV per atom

Unit cell a=3.603 b=7.167 c=7.321 alpha=94.73 beta=90.00 gamma=90.00
Fractional coordinates of all 10 atoms:
S 0.250 0.378 0.613
S 0.750 0.318 0.976
S 0.750 0.115 0.327
S 0.750 0.622 0.387
S 0.250 0.885 0.673
S 0.250 0.682 0.024
Mn 0.750 0.137 0.680
Mn 0.250 0.863 0.320
Zr 0.250 0.379 0.236
Zr 0.750 0.621 0.764

Entry from Alexandria: a relaxed structure of La2HgBi (PBE).

Values from the calculation:
Crystal system = orthorhombic
E above lowest polymorph = 0 meV per atom
Total moment = 0.000 μB per atom

Unit cell a=4.862 b=4.438 c=12.969 alpha=99.85 beta=90.00 gamma=90.00
Fractional coordinates of all 8 atoms:
Bi 0.250 0.188 0.377
Bi 0.750 0.812 0.623
Hg 0.250 0.458 0.915
Hg 0.750 0.542 0.085
La 0.750 0.938 0.876
La 0.250 0.062 0.124
La 0.750 0.683 0.366
La 0.250 0.317 0.634

Entry from Alexandria: a relaxed structure of OsRu3 (PBE).

Values from the calculation:
Crystal system = orthorhombic
Total moment = 0.000 μB per atom
E_tot = -9.7735 eV/atom

Unit cell a=4.319 b=4.738 c=2.730 alpha=90.00 beta=90.00 gamma=90.00
Fractional coordinates of all 4 atoms:
Os 0.000 0.002 0.000
Ru 0.500 0.833 0.500
Ru 0.000 0.499 0.500
Ru 0.500 0.334 0.000

Entry from Alexandria: a relaxed structure of CsAc2Ir (PBE).

Values from the calculation:
Crystal system = trigonal
E above lowest polymorph = 44 meV per atom
Total moment = 0.000 μB per atom

Unit cell a=4.454 b=4.454 c=12.326 alpha=79.59 beta=79.59 gamma=60.00
Fractional coordinates of all 4 atoms:
Ac 0.124 0.124 0.627
Ac 0.876 0.876 0.373
Cs 0.000 0.000 0.000
Ir 0.500 0.500 0.500

Question: What is the formula in the fourth record?
Answer: CsAc2Ir

Repeat the first record exactly.
Entry from Alexandria: a relaxed structure of ZrMnS3 (PBE).

Values from the calculation:
Crystal system = monoclinic
E above lowest polymorph = 0 meV per atom
Total moment = 0.991 μB per atom
Uncorrected formation energy = -1.089 eV per atom

Unit cell a=3.603 b=7.167 c=7.321 alpha=94.73 beta=90.00 gamma=90.00
Fractional coordinates of all 10 atoms:
S 0.250 0.378 0.613
S 0.750 0.318 0.976
S 0.750 0.115 0.327
S 0.750 0.622 0.387
S 0.250 0.885 0.673
S 0.250 0.682 0.024
Mn 0.750 0.137 0.680
Mn 0.250 0.863 0.320
Zr 0.250 0.379 0.236
Zr 0.750 0.621 0.764

Question: What is the total moment in the second record?
Answer: 0.000 μB per atom